Record 1
SrCeAlIn: optimized geometry, PBE.

a = 7.7669 Å, b = 7.7669 Å, c = 7.7669 Å
α = 90.00°, β = 90.00°, γ = 90.00°
Closest atoms and distances in Å follow each position.
Space group F-43m (No. 216)
One atom of each set of equivalent atoms:
Sr  0.0000  0.0000  0.0000  4 In 3.36, 4 Al 3.36
Ce  0.0000  0.0000  0.5000  4 In 3.36, 4 Al 3.36
Al  0.2500  0.2500  0.7500  4 Ce 3.36, 4 Sr 3.36
In  0.2500  0.2500  0.2500  4 Ce 3.36, 4 Sr 3.36

The calculation puts the energy of formation from the pure elements at -0.2054 eV per atom.

---

Record 2
CeYAlIn: optimized geometry, PBE.

a = 7.4754 Å, b = 7.4754 Å, c = 7.4754 Å
α = 90.00°, β = 90.00°, γ = 90.00°
Closest atoms and distances in Å follow each position.
Space group F-43m (No. 216)
One atom of each set of equivalent atoms:
Ce  0.0000  0.0000  0.0000  4 In 3.24, 4 Al 3.24
Y  0.0000  0.0000  0.5000  4 In 3.24, 4 Al 3.24
Al  0.2500  0.2500  0.7500  4 Ce 3.24, 4 Y 3.24
In  0.2500  0.2500  0.2500  4 Ce 3.24, 4 Y 3.24

The calculation puts the energy of formation from the pure elements at -0.3593 eV per atom.

---

Record 3
Ce2Al3Zn4In: optimized geometry, PBE.

a = 4.3046 Å, b = 4.3046 Å, c = 10.8695 Å
α = 90.00°, β = 90.00°, γ = 90.00°
Closest atoms and distances in Å follow each position.
Space group P-4m2 (No. 115)
One atom of each set of equivalent atoms:
Ce  0.0000  0.5000  0.2389  6 Al 3.27-3.56, 8 Zn 3.29-3.37, 2 In 3.56
Al  0.0000  0.5000  0.8719  5 Zn 2.44-2.56
Al  0.5000  0.5000  0.5000  4 Zn 2.68
Zn  0.0000  0.0000  0.0000  4 Al 2.56
Zn  0.0000  0.5000  0.6472  3 Al 2.44-2.68, 2 In 2.68
Zn  0.5000  0.5000  0.0000  4 Al 2.56
In  0.0000  0.0000  0.5000  4 Zn 2.68

The calculation puts the energy of formation from the pure elements at -0.3260 eV per atom.

---

Record 4
CeAlZnIn: optimized geometry, PBE.

a = 7.0079 Å, b = 7.0079 Å, c = 7.0079 Å
α = 90.00°, β = 90.00°, γ = 90.00°
Closest atoms and distances in Å follow each position.
Space group F-43m (No. 216)
One atom of each set of equivalent atoms:
Ce  0.0000  0.0000  0.0000  4 Al 3.03, 4 Zn 3.03
Al  0.2500  0.2500  0.7500  4 In 3.03, 4 Ce 3.03
Zn  0.2500  0.2500  0.2500  4 In 3.03, 4 Ce 3.03
In  0.0000  0.0000  0.5000  4 Al 3.03, 4 Zn 3.03

The calculation puts the energy of formation from the pure elements at -0.2190 eV per atom.

---

Record 5
Ce7Al2Ir2: optimized geometry, PBE.

a = 8.0805 Å, b = 10.8152 Å, c = 6.6742 Å
α = 90.00°, β = 90.00°, γ = 90.00°
Closest atoms and distances in Å follow each position.
Space group Cmmm (No. 65)
One atom of each set of equivalent atoms:
Ce  0.0000  0.0000  0.0000  2 Ir 3.12
Ce  0.0000  0.5000  0.2900  1 Ce 2.80, 2 Ir 3.00, 2 Al 3.11
Ce  0.2500  0.2500  0.2824  2 Ir 2.79, 1 Ce 2.91
Al  0.1570  0.0000  0.5000  1 Al 2.54
Ir  0.0000  0.2884  0.0000  7 Ce 2.79-3.12

The calculation puts the energy of formation from the pure elements at -0.3129 eV per atom.

---

Record 6
Ce2AlIr: optimized geometry, PBE.

a = 3.7478 Å, b = 3.7478 Å, c = 6.3785 Å
α = 90.00°, β = 90.00°, γ = 90.00°
Closest atoms and distances in Å follow each position.
Space group P4/mmm (No. 123)
One atom of each set of equivalent atoms:
Ce  0.0000  0.0000  0.2221  1 Ce 2.83, 4 Ir 3.00
Al  0.5000  0.5000  0.5000  8 Ce 3.19, 2 Ir 3.19
Ir  0.5000  0.5000  0.0000  8 Ce 3.00, 2 Al 3.19

The calculation puts the energy of formation from the pure elements at -0.4875 eV per atom.

---

Record 7
Ce7AlIr2: optimized geometry, PBE.

a = 8.6988 Å, b = 13.4233 Å, c = 5.2195 Å
α = 90.00°, β = 90.00°, γ = 90.00°
Closest atoms and distances in Å follow each position.
Space group Cmmm (No. 65)
One atom of each set of equivalent atoms:
Ce  0.0000  0.0000  0.0000  2 Ir 2.59
Ce  0.0000  0.2280  0.5000  2 Ir 2.65
Ce  0.1649  0.3902  0.0000  2 Ce 2.87-2.95, 2 Ir 3.01-3.12
Al  0.0000  0.5000  0.5000  10 Ce 3.32-3.65
Ir  0.0000  0.1931  0.0000  3 Ce 2.59-2.65

The calculation puts the energy of formation from the pure elements at -0.1198 eV per atom.

---

Record 8
Ce6AlIr: optimized geometry, PBE.

a = 7.6997 Å, b = 9.4161 Å, c = 6.3095 Å
α = 90.00°, β = 106.07°, γ = 90.00°
Closest atoms and distances in Å follow each position.
Space group C2/m (No. 12)
One atom of each set of equivalent atoms:
Ce  0.1321  0.2107  0.3068  1 Ce 2.71, 1 Ir 2.76
Ce  0.1805  0.5000  0.1096  1 Ir 2.73, 3 Ce 2.74-3.06
Al  0.0000  0.5000  0.5000  10 Ce 3.15-3.40
Ir  0.0000  0.0000  0.0000  6 Ce 2.73-2.76

The calculation puts the energy of formation from the pure elements at -0.1470 eV per atom.

---

Record 9
Ce5AlIr4: optimized geometry, PBE.

a = 15.7586 Å, b = 4.2923 Å, c = 6.8301 Å
α = 90.00°, β = 103.63°, γ = 90.00°
Closest atoms and distances in Å follow each position.
Space group C2/m (No. 12)
One atom of each set of equivalent atoms:
Ce  0.0000  0.0000  0.0000  6 Ir 2.91-3.19
Ce  0.1627  0.5000  0.4970  4 Ir 2.86-3.07, 1 Ce 3.02
Ce  0.1659  0.5000  0.0565  4 Ir 2.81-2.89, 1 Ce 3.02
Al  0.0000  0.0000  0.5000  6 Ir 2.61-2.68
Ir  0.0157  0.5000  0.7220  2 Al 2.61, 4 Ce 2.86-2.91
Ir  0.1541  0.0000  0.7685  1 Al 2.68, 5 Ce 2.81-2.89

The calculation puts the energy of formation from the pure elements at -0.6093 eV per atom.

---

Record 10
Ce2AlIr: optimized geometry, PBE.

a = 4.3797 Å, b = 4.3797 Å, c = 4.3473 Å
α = 90.00°, β = 90.00°, γ = 90.00°
Closest atoms and distances in Å follow each position.
Space group P4/mmm (No. 123)
One atom of each set of equivalent atoms:
Ce  0.0000  0.5000  0.0000  4 Al 3.09, 4 Ir 3.09, 4 Ce 3.10
Al  0.0000  0.0000  0.5000  8 Ce 3.09, 4 Ir 3.10
Ir  0.5000  0.5000  0.5000  8 Ce 3.09, 4 Al 3.10

The calculation puts the energy of formation from the pure elements at -0.4973 eV per atom.

---

Record 11
CeAl2Ir2: optimized geometry, PBE.

a = 3.9903 Å, b = 3.9903 Å, c = 11.6413 Å
α = 90.00°, β = 90.00°, γ = 90.00°
Closest atoms and distances in Å follow each position.
Space group I4/mmm (No. 139)
One atom of each set of equivalent atoms:
Ce  0.0000  0.0000  0.0000  8 Ir 3.12
Al  0.0000  0.5000  0.2500  4 Ir 2.54, 4 Al 2.82
Ir  0.0000  0.0000  0.3848  4 Al 2.54, 1 Ir 2.68

The calculation puts the energy of formation from the pure elements at -0.8355 eV per atom.

---

Record 12
Ce2Al8Ir: optimized geometry, PBE.

a = 4.3344 Å, b = 4.3344 Å, c = 11.3329 Å
α = 90.00°, β = 90.00°, γ = 90.00°
Closest atoms and distances in Å follow each position.
Space group P4/mmm (No. 123)
One atom of each set of equivalent atoms:
Ce  0.0000  0.0000  0.1926  12 Al 3.03-3.08
Al  0.0000  0.5000  0.0000  8 Al 3.06-3.09, 4 Ce 3.08
Al  0.0000  0.5000  0.3800  2 Ir 2.56, 1 Al 2.72
Al  0.5000  0.5000  0.1949  8 Al 3.02-3.09, 4 Ce 3.07
Ir  0.0000  0.0000  0.5000  8 Al 2.56

The calculation puts the energy of formation from the pure elements at -0.5251 eV per atom.

---

Repeat the first record exactly.
SrCeAlIn: optimized geometry, PBE.

a = 7.7669 Å, b = 7.7669 Å, c = 7.7669 Å
α = 90.00°, β = 90.00°, γ = 90.00°
Closest atoms and distances in Å follow each position.
Space group F-43m (No. 216)
One atom of each set of equivalent atoms:
Sr  0.0000  0.0000  0.0000  4 In 3.36, 4 Al 3.36
Ce  0.0000  0.0000  0.5000  4 In 3.36, 4 Al 3.36
Al  0.2500  0.2500  0.7500  4 Ce 3.36, 4 Sr 3.36
In  0.2500  0.2500  0.2500  4 Ce 3.36, 4 Sr 3.36

The calculation puts the energy of formation from the pure elements at -0.2054 eV per atom.

---

- Which value of energy of formation from the pure elements does entry 3 give?
  -0.3260 eV per atom

---

- Which of these has the highest energy of formation from the pure elements?
  Ce7AlIr2

---

- energy of formation from the pure elements of number 3 (Ce2Al3Zn4In)?
  -0.3260 eV per atom